The following is a GGA-PBEsol calculation of a relaxed structure of CrCdBr2, from the Alexandria database.

The calculation puts the uncorrected formation energy at 363.0 meV per atom. Its crystal system is cubic. The value obtained for the energy above the most stable polymorph in this dataset is 563 meV/atom. As for the total magnetic moment: 4.37 Bohr magnetons per cell.

Geometry as POSCAR:
```
CrCdBr2
1.0
0.000 3.574 3.574
3.574 0.000 3.574
3.574 3.574 0.000
Cr Cd Br
1 1 2
Cartesian
0.000 0.000 0.000 Cr
5.360 5.360 5.360 Cd
1.787 1.787 1.787 Br
3.574 3.574 3.574 Br
```